Entry 1:
VASP calculation (GGA-PBE) on a geometry-optimized GdHfCu2 structure.

Computed properties:
Its density of states at the Fermi level is 4.44 states/eV/cell. The total moment comes out at 7.61 μB per formula unit. The symmetry is P4/mmm, No. 123. The calculation puts the distance to the lowest polymorph of the same formula at 0.0000 eV per atom.

Cell and atoms, written as POSCAR:
```
GdHfCu2
1.0
3.356 0.000 0.000
0.000 3.356 0.000
0.000 0.000 6.826
Cu Hf Gd
2 1 1
Direct
0.000 0.000 0.204
0.000 0.000 0.796
0.500 0.500 0.000
0.500 0.500 0.500
```

***

Entry 2:
VASP calculation (GGA-PBE) on a geometry-optimized GdHfCuIr structure.

Computed properties:
Its density of states at the Fermi level is 3.13 states/eV/cell. The total moment comes out at 7.08 μB per formula unit. The symmetry is F-43m, No. 216.

Cell and atoms, written as POSCAR:
```
GdHfCuIr
1.0
4.766 0.000 0.000
2.383 4.128 0.000
2.383 1.376 3.892
Gd Cu Hf Ir
1 1 1 1
Direct
0.500 0.500 0.500
0.250 0.250 0.250
0.000 0.000 0.000
0.750 0.750 0.750
```

***

Entry 3:
VASP calculation (GGA-PBE) on a geometry-optimized GdHfCuPd structure.

Computed properties:
Its density of states at the Fermi level is 3.07 states/eV/cell. The total moment comes out at 7.32 μB per formula unit. The symmetry is F-43m, No. 216.

Cell and atoms, written as POSCAR:
```
GdHfCuPd
1.0
4.821 0.000 0.000
2.410 4.175 0.000
2.410 1.392 3.936
Hf Gd Pd Cu
1 1 1 1
Direct
0.500 0.500 0.500
0.000 0.000 0.000
0.750 0.750 0.750
0.250 0.250 0.250
```

***

| no. | energy relative to the elements (eV per atom) |
| --- | --- |
| 1 | -0.14 |
| 2 | -0.47 |
| 3 | -0.34 |